(1)
A plane-wave DFT calculation with PBE-GGA was carried out for a relaxed structure of La6GaPb.

The total magnetization is 0.0 μB/cell. The value obtained for the density of states at the Fermi level is 11.5 states/eV/f.u. The energy of formation comes out at -0.33 eV/atom.

The space group is P4/mmm (No. 123) and the conventional cell measures 5.0179, 5.0179 and 10.0040 Å, with angles of 90.00, 90.00 and 90.00 degrees. The asymmetric unit holds La at (0.0000, 0.0000, 0.0000), La at (0.0000, 0.0000, 0.5000), La at (0.0000, 0.5000, 0.2416), Ga at (0.5000, 0.5000, 0.0000) and Pb at (0.5000, 0.5000, 0.5000).


(2)
A plane-wave DFT calculation with PBE-GGA was carried out for a relaxed structure of LaGaPb3.

The total magnetization is 0.0 μB/cell. The calculation puts the offset from the most stable computed form at 2.76 eV/f.u. The value obtained for the density of states at the Fermi level is 4.9 states/eV/f.u. The energy of formation comes out at 0.62 eV/atom.

The space group is Pm-3m (No. 221) and the conventional cell measures 6.1353, 6.1353 and 6.1353 Å, with angles of 90.00, 90.00 and 90.00 degrees. The asymmetric unit holds La at (0.0000, 0.0000, 0.0000), Ga at (0.5000, 0.5000, 0.5000) and Pb at (0.0000, 0.0000, 0.5000).


(3)
A plane-wave DFT calculation with PBE-GGA was carried out for a relaxed structure of La6Ga2Pb.

The total magnetization is 0.0 μB/cell. The value obtained for the density of states at the Fermi level is 10.8 states/eV/f.u. The energy of formation comes out at -0.42 eV/atom.

The space group is Immm (No. 71) and the conventional cell measures 10.1905, 10.2965 and 11.1383 Å, with angles of 90.00, 90.00 and 90.00 degrees. The asymmetric unit holds La at (0.0000, 0.2034, 0.2415), La at (0.2070, 0.5000, 0.1764), La at (0.2189, 0.3145, 0.5000), Ga at (0.0000, 0.3624, 0.0000), Ga at (0.0000, 0.5000, 0.3818), Pb at (0.0000, 0.0000, 0.0000) and Pb at (0.0000, 0.0000, 0.5000).


(4)
A plane-wave DFT calculation with PBE-GGA was carried out for a relaxed structure of La2Ga2Pb.

The total magnetization is 0.0 μB/cell. The calculation puts the offset from the most stable computed form at 2.27 eV/f.u. The value obtained for the density of states at the Fermi level is 4.6 states/eV/f.u. The energy of formation comes out at -0.17 eV/atom.

The space group is I4/mmm (No. 139) and the conventional cell measures 5.0756, 5.0756 and 11.8270 Å, with angles of 90.00, 90.00 and 90.00 degrees. The asymmetric unit holds La at (0.0000, 0.5000, 0.2500), Ga at (0.0000, 0.0000, 0.1000) and Pb at (0.0000, 0.0000, 0.5000).